A geometry-optimized TaSbSe2Br structure. Source: Alexandria, functional PBE-GGA.

**Polymorph energy (0 for the lowest one)**: 96.03 kJ/mol of atoms
**Magnetic moment**: 3.12 μB per formula unit
**Energy relative to the elements, uncorrected**: 1.094 eV/atom

Cell: 5.3780 5.3780 5.2495 Å, 90.00 90.00 90.00°
Last column: nearest neighbours and their distance in Å.
Atoms (fractional coordinates):
Ta  0.0000  0.0000  0.0000  8 Se 3.76, 4 Br 3.80
Sb  0.5000  0.5000  0.5000  2 Br 2.62, 4 Se 2.69
Se  0.0000  0.5000  0.5000  2 Sb 2.69
Se  0.5000  0.0000  0.5000  2 Sb 2.69
Br  0.5000  0.5000  0.0000  2 Sb 2.62